VASP calculation (PBE-GGA) on a relaxed U2IrPt crystal.

Summary:
**Calculated formation energy**: 8 meV per atom
**Calculated volume**: 228.5 Å³/cell

Unit cell a=2.8908 b=2.8908 c=31.5690 alpha=90.00 beta=90.00 gamma=120.00
Last column: nearest neighbours and their distance in Å.
Space group R-3m (No. 166, hexagonal axes)
Symmetry-distinct sites (fractional):
U: 0.0000 0.0000 0.0875 x6  1 Pt 2.76, 6 U 2.89, 3 Ir 3.01
Ir: 0.0000 0.0000 0.5000 x3  6 Ir 2.89, 6 U 3.01
Pt: 0.0000 0.0000 0.0000 x3  2 U 2.76, 6 Pt 2.89